The following is a DFT calculation (PBE) of CaCu2Cl after structural relaxation.

POSCAR file:
```
CaCu2Cl
1.0
3.5218 0.0000 0.0000
0.0000 3.5130 0.0000
-0.1127 0.0000 7.1162
Ca Cu Cl
1 2 1
Cartesian
0.0000 0.0000 0.0000 Ca
1.6492 0.0000 4.7596 Cu
3.4099 1.7565 4.7581 Cu
1.7613 1.7565 1.3020 Cl
```

crystal system	monoclinic
density of states at the Fermi level	0.9	states/eV/f.u.
relative energy among the computed polymorphs	0	meV per atom
SG	Pm, No. 6
uncorrected formation energy	-586	meV/atom

***

The following is a DFT calculation (PBE) of CaCu2Cl after structural relaxation.

POSCAR file:
```
CaCu2Cl
1.0
1.7666 1.0199 7.8354
-1.7666 1.0199 7.8354
0.0000 -2.0399 7.8354
Ca Cu Cl
1 2 1
Cartesian
0.0000 0.0000 0.0000 Ca
0.0000 0.0000 5.6148 Cu
0.0000 0.0000 17.8914 Cu
0.0000 0.0000 11.7531 Cl
```

crystal system	trigonal
density of states at the Fermi level	2.7	states/eV/f.u.
relative energy among the computed polymorphs	681	meV per atom
SG	R-3m, No. 166
uncorrected formation energy	95	meV/atom

***

The following is a DFT calculation (PBE) of CaCuCl after structural relaxation.

POSCAR file:
```
CaCuCl
1.0
11.7990 0.0000 0.0000
0.0000 1.9740 3.4104
0.0000 -1.9740 3.4104
Ca Cu Cl
2 2 2
Cartesian
1.8423 0.0000 0.0000 Ca
9.9567 0.0000 0.0000 Ca
0.0000 0.0000 2.2800 Cu
5.8995 0.0000 2.2540 Cu
3.7167 0.0000 2.2664 Cl
8.0823 0.0000 2.2664 Cl
```

crystal system	orthorhombic
density of states at the Fermi level	0.7	states/eV/f.u.
relative energy among the computed polymorphs	137	meV per atom
SG	Amm2, No. 38
uncorrected formation energy	-654	meV/atom